Nd2NiSn3 | PBE-GGA | optimized geometry

## Properties
Formation enthalpy at 0 K = -0.600 eV/atom
Calculated total energy = -30.92 eV per cell
Fermi-level density of states = 4.0 states/eV per cell
Energy above the most stable polymorph in this dataset = 0 meV per atom

a = 6.146 Å, b = 6.146 Å, c = 7.504 Å
α = 126.98°, β = 126.98°, γ = 44.13°
Fractional positions:
Nd 0.000 0.000 0.000
Nd 0.125 0.125 0.599
Ni 0.746 0.746 0.055
Sn 0.372 0.372 0.173
Sn 0.461 0.461 0.677
Sn 0.734 0.734 0.396